(1)
# CrGe3B

A relaxed CrGe3B crystal (PBE, Alexandria).

Summary:
Final energy: -4.877 eV/atom
Formation enthalpy at 0 K: 1.15 eV per atom
Density: 5.8 g/cm3
Offset from the most stable computed form: 0.36 eV/f.u.

Lattice parameters (Å, degrees): 4.310 4.310 4.310 90.00 90.00 90.00
Element x y z (fractional)
Cr 0.000 0.000 0.000
Ge 0.000 0.500 0.500
Ge 0.500 0.000 0.500
Ge 0.500 0.500 0.000
B 0.500 0.500 0.500



(2)
# Tm4ScSb4

A relaxed Tm4ScSb4 crystal (PBE, Alexandria).

Summary:
Final energy: -5.032 eV/atom
Density: 6.1 g/cm3
Formation energy from raw total energies: -0.51 eV/atom

Lattice parameters (Å, degrees): 8.288 8.288 8.288 129.68 129.68 73.92
Element x y z (fractional)
Tm 0.000 0.500 0.500
Tm 0.228 0.228 0.000
Tm 0.500 0.000 0.500
Tm 0.772 0.772 0.000
Sc 0.500 0.500 0.000
Sb 0.137 0.607 0.000
Sb 0.393 0.393 0.529
Sb 0.607 0.137 0.000
Sb 0.863 0.863 0.471